1.
Below is crystalline NaSrCa2Ru at its relaxed geometry, with properties calculated at the PBE level.

Its symmetry is P4/mmm (123). The value obtained for the energy of formation is 0.169 eV/atom. The calculation puts the total moment at 0.0 Bohr magnetons per cell.

Cell: 5.595 5.595 5.841 Å, 90.00 90.00 90.00°
Positions (direct):
1 Ru 0.000 0.000 0.000
2 Ca 0.000 0.500 0.000
3 Ca 0.500 0.000 0.000
4 Na 0.500 0.500 0.500
5 Sr 0.000 0.000 0.500


2.
Below is crystalline NaSr2CaRu at its relaxed geometry, with properties calculated at the PBE level.

Its symmetry is P4/mmm (123). The value obtained for the energy of formation is 0.195 eV/atom. The calculation puts the total moment at 0.0 Bohr magnetons per cell.

Cell: 5.873 5.873 5.604 Å, 90.00 90.00 90.00°
Positions (direct):
1 Ru 0.000 0.000 0.000
2 Ca 0.000 0.000 0.500
3 Na 0.500 0.500 0.500
4 Sr 0.000 0.500 0.000
5 Sr 0.500 0.000 0.000


3.
Below is crystalline NaCa2TiRu at its relaxed geometry, with properties calculated at the PBE level.

Its symmetry is P4/mmm (123). The value obtained for the energy of formation is 1.622 eV/atom. The calculation puts the total moment at 5.4 Bohr magnetons per cell.

Cell: 5.552 5.168 5.552 Å, 90.00 90.00 90.00°
Positions (direct):
1 Ru 0.500 0.500 0.500
2 Ca 0.000 0.000 0.500
3 Ca 0.500 0.000 0.000
4 Na 0.000 0.500 0.000
5 Ti 0.000 0.000 0.000


4.
Below is crystalline NaCa2YRu at its relaxed geometry, with properties calculated at the PBE level.

Its symmetry is P4/mmm (123). The value obtained for the energy of formation is 0.061 eV/atom. The calculation puts the total moment at 0.0 Bohr magnetons per cell.

Cell: 5.665 5.665 5.291 Å, 90.00 90.00 90.00°
Positions (direct):
1 Y 0.000 0.000 0.500
2 Ru 0.000 0.000 0.000
3 Ca 0.000 0.500 0.000
4 Ca 0.500 0.000 0.000
5 Na 0.500 0.500 0.500


5.
Below is crystalline Na2CaZrRu at its relaxed geometry, with properties calculated at the PBE level.

The value obtained for the offset from the most stable computed form is 0.203 eV/atom. Its symmetry is P4/mmm (123). The value obtained for the energy of formation is 1.989 eV/atom. The calculation puts the total moment at 5.6 Bohr magnetons per cell.

Cell: 5.626 5.813 5.626 Å, 90.00 90.00 90.00°
Positions (direct):
1 Ru 0.500 0.500 0.500
2 Ca 0.000 0.500 0.000
3 Zr 0.000 0.000 0.000
4 Na 0.000 0.000 0.500
5 Na 0.500 0.000 0.000


6.
Below is crystalline Na2CaZrRu at its relaxed geometry, with properties calculated at the PBE level.

The value obtained for the offset from the most stable computed form is 0.000 eV/atom. Its symmetry is P4/mmm (123). The value obtained for the energy of formation is 1.786 eV/atom. The calculation puts the total moment at 0.0 Bohr magnetons per cell.

Cell: 4.689 5.485 4.689 Å, 90.00 90.00 90.00°
Positions (direct):
1 Ru 0.500 0.500 0.500
2 Ca 0.000 0.000 0.000
3 Zr 0.000 0.500 0.000
4 Na 0.000 0.000 0.500
5 Na 0.500 0.000 0.000


7.
Below is crystalline NaCaS2 at its relaxed geometry, with properties calculated at the PBE level.

Its symmetry is I-42d (122). The calculation puts the total moment at 0.0 Bohr magnetons per cell. As for the energy relative to the elements, uncorrected: -1.141 eV/atom.

Cell: 7.433 7.433 6.176 Å, 53.00 53.00 90.00°
Positions (direct):
1 Na 0.500 0.500 0.000
2 Na 0.250 0.750 0.500
3 Ca 0.000 0.000 0.000
4 Ca 0.750 0.250 0.500
5 S 0.624 0.125 0.250
6 S 0.126 0.625 0.250
7 S 0.375 0.376 0.750
8 S 0.875 0.874 0.750


8.
Below is crystalline Na3CaS at its relaxed geometry, with properties calculated at the PBE level.

The value obtained for the offset from the most stable computed form is 0.000 eV/atom. Its symmetry is Pm-3m (221). The calculation puts the total moment at 0.0 Bohr magnetons per cell. As for the energy relative to the elements, uncorrected: -0.337 eV/atom.

Cell: 5.530 5.530 5.530 Å, 90.00 90.00 90.00°
Positions (direct):
1 Na 0.000 0.500 0.000
2 Na 0.000 0.000 0.500
3 Na 0.500 0.000 0.000
4 Ca 0.500 0.500 0.500
5 S 0.000 0.000 0.000


9.
Below is crystalline NaCa3S at its relaxed geometry, with properties calculated at the PBE level.

The value obtained for the offset from the most stable computed form is 1.093 eV/atom. Its symmetry is Pm-3m (221). The calculation puts the total moment at 0.0 Bohr magnetons per cell. As for the energy relative to the elements, uncorrected: 0.396 eV/atom.

Cell: 5.831 5.831 5.831 Å, 90.00 90.00 90.00°
Positions (direct):
1 Na 0.000 0.000 0.000
2 Ca 0.000 0.500 0.000
3 Ca 0.000 0.000 0.500
4 Ca 0.500 0.000 0.000
5 S 0.500 0.500 0.500


10.
Below is crystalline Na3CaS at its relaxed geometry, with properties calculated at the PBE level.

The value obtained for the offset from the most stable computed form is 1.053 eV/atom. Its symmetry is Pm-3m (221). The calculation puts the total moment at 0.7 Bohr magnetons per cell. As for the energy relative to the elements, uncorrected: 0.716 eV/atom.

Cell: 6.150 6.150 6.150 Å, 90.00 90.00 90.00°
Positions (direct):
1 Na 0.000 0.500 0.000
2 Na 0.000 0.000 0.500
3 Na 0.500 0.000 0.000
4 Ca 0.000 0.000 0.000
5 S 0.500 0.500 0.500


11.
Below is crystalline NaCaS at its relaxed geometry, with properties calculated at the PBE level.

Its symmetry is R-3m (166). The calculation puts the total moment at 0.0 Bohr magnetons per cell. As for the energy relative to the elements, uncorrected: -1.139 eV/atom.

Cell: 4.676 4.676 11.270 Å, 78.03 78.03 60.00°
Positions (direct):
1 S 0.288 0.288 0.136
2 S 0.712 0.712 0.864
3 Ca 0.374 0.374 0.878
4 Ca 0.626 0.626 0.122
5 Na 0.867 0.867 0.398
6 Na 0.133 0.133 0.602


12.
Below is crystalline Na2CaS2 at its relaxed geometry, with properties calculated at the PBE level.

The value obtained for the offset from the most stable computed form is 0.000 eV/atom. Its symmetry is P4/mbm (127). The calculation puts the total moment at 0.0 Bohr magnetons per cell. As for the energy relative to the elements, uncorrected: -1.178 eV/atom.

Cell: 7.599 7.599 3.997 Å, 90.00 90.00 90.00°
Positions (direct):
1 Na 0.128 0.628 0.500
2 Na 0.628 0.872 0.500
3 Na 0.872 0.372 0.500
4 Na 0.372 0.128 0.500
5 Ca 0.000 0.000 0.000
6 Ca 0.500 0.500 0.000
7 S 0.318 0.818 0.000
8 S 0.818 0.682 0.000
9 S 0.682 0.182 0.000
10 S 0.182 0.318 0.000